(1)
Compound: NiGe2OsW
Source: the Alexandria database
Functional: PBE-GGA
Structure: optimized geometry

Values from the calculation:
Spin magnetization, μB/f.u.: 1.85
ΔE_f, eV per atom: 1.3666

Cell lengths 4.6514, 4.9675, 4.6514 Å; angles 90.00, 90.00, 90.00 degrees
Positions (direct):
Ni (0.5000, 0.5000, 0.5000)
Ge (0.0000, 0.0000, 0.5000)
Ge (0.5000, 0.0000, 0.0000)
Os (0.0000, 0.0000, 0.0000)
W (0.0000, 0.5000, 0.0000)

(2)
Compound: YNiGe2Os
Source: the Alexandria database
Functional: PBE-GGA
Structure: optimized geometry

Values from the calculation:
Spin magnetization, μB/f.u.: 0.00
ΔE_f, eV per atom: -0.5127

Cell lengths 4.0434, 4.0434, 5.9811 Å; angles 109.76, 109.76, 90.00 degrees
Positions (direct):
Y (0.0000, 0.0000, 0.0000)
Ni (0.2500, 0.7500, 0.5000)
Ge (0.6220, 0.6220, 0.2441)
Ge (0.3780, 0.3780, 0.7559)
Os (0.7500, 0.2500, 0.5000)

(3)
Compound: Zr2NiGeOs
Source: the Alexandria database
Functional: PBE-GGA
Structure: optimized geometry

Values from the calculation:
Spin magnetization, μB/f.u.: 0.00
ΔE_f, eV per atom: 0.5872

Cell lengths 5.0608, 4.6147, 5.0608 Å; angles 90.00, 90.00, 90.00 degrees
Positions (direct):
Ni (0.5000, 0.5000, 0.5000)
Ge (0.0000, 0.5000, 0.0000)
Os (0.0000, 0.0000, 0.0000)
Zr (0.0000, 0.0000, 0.5000)
Zr (0.5000, 0.0000, 0.0000)

(4)
Compound: Ni21Ge2P6
Source: the Alexandria database
Functional: PBE-GGA
Structure: optimized geometry

Values from the calculation:
Spin magnetization, μB/f.u.: 0.00
ΔE_f, eV per atom: -0.3914

Cell lengths 7.8014, 7.8014, 7.8014 Å; angles 60.00, 60.00, 60.00 degrees
Positions (direct):
Ni (0.0000, 0.0000, 0.0000)
Ni (0.6211, 0.6211, 0.1368)
Ni (0.6211, 0.6211, 0.6211)
Ni (0.6211, 0.1368, 0.6211)
Ni (0.1368, 0.6211, 0.6211)
Ni (0.3789, 0.3789, 0.8632)
Ni (0.3789, 0.3789, 0.3789)
Ni (0.3789, 0.8632, 0.3789)
Ni (0.8632, 0.3789, 0.3789)
Ni (0.6528, 0.0000, 0.3472)
Ni (0.0000, 0.6528, 0.3472)
Ni (0.0000, 0.0000, 0.3472)
Ni (0.0000, 0.6528, 0.0000)
Ni (0.6528, 0.0000, 0.0000)
Ni (0.0000, 0.0000, 0.6528)
Ni (0.0000, 0.3472, 0.0000)
Ni (0.0000, 0.3472, 0.6528)
Ni (0.6528, 0.3472, 0.0000)
Ni (0.3472, 0.0000, 0.6528)
Ni (0.3472, 0.0000, 0.0000)
Ni (0.3472, 0.6528, 0.0000)
Ge (0.7500, 0.7500, 0.7500)
Ge (0.2500, 0.2500, 0.2500)
P (0.2646, 0.7354, 0.2646)
P (0.7354, 0.2646, 0.2646)
P (0.7354, 0.7354, 0.2646)
P (0.7354, 0.2646, 0.7354)
P (0.2646, 0.7354, 0.7354)
P (0.2646, 0.2646, 0.7354)

(5)
Compound: Ni4GeP
Source: the Alexandria database
Functional: PBE-GGA
Structure: optimized geometry

Values from the calculation:
Spin magnetization, μB/f.u.: 0.00
ΔE_f, eV per atom: -0.4104

Cell lengths 3.3022, 6.0051, 14.2102 Å; angles 90.00, 90.00, 90.00 degrees
Positions (direct):
Ni (0.7500, 0.8758, 0.6520)
Ni (0.2500, 0.1242, 0.3480)
Ni (0.2500, 0.6242, 0.1520)
Ni (0.7500, 0.3758, 0.8480)
Ni (0.7500, 0.8678, 0.4513)
Ni (0.2500, 0.1322, 0.5487)
Ni (0.2500, 0.6322, 0.9513)
Ni (0.7500, 0.3678, 0.0487)
Ni (0.7500, 0.9936, 0.9354)
Ni (0.2500, 0.0064, 0.0646)
Ni (0.2500, 0.5064, 0.4354)
Ni (0.7500, 0.4936, 0.5646)
Ni (0.7500, 0.9416, 0.2069)
Ni (0.2500, 0.0584, 0.7931)
Ni (0.2500, 0.5584, 0.7069)
Ni (0.7500, 0.4416, 0.2931)
Ge (0.7500, 0.7490, 0.8101)
Ge (0.2500, 0.2510, 0.1899)
Ge (0.2500, 0.7510, 0.3101)
Ge (0.7500, 0.2490, 0.6899)
P (0.7500, 0.2492, 0.4409)
P (0.2500, 0.7508, 0.5591)
P (0.2500, 0.2508, 0.9409)
P (0.7500, 0.7492, 0.0591)

(6)
Compound: Ni16GeP5
Source: the Alexandria database
Functional: PBE-GGA
Structure: optimized geometry

Values from the calculation:
Spin magnetization, μB/f.u.: 0.00
ΔE_f, eV per atom: -0.4450

Cell lengths 6.5976, 6.7008, 6.7668 Å; angles 98.83, 102.55, 119.26 degrees
Positions (direct):
Ni (0.2804, 0.6386, 0.3002)
Ni (0.7196, 0.3614, 0.6998)
Ni (0.5867, 0.7286, 0.1077)
Ni (0.4133, 0.2714, 0.8923)
Ni (0.5597, 0.4465, 0.3371)
Ni (0.4403, 0.5535, 0.6629)
Ni (0.6095, 0.0796, 0.3515)
Ni (0.3905, 0.9204, 0.6485)
Ni (0.2069, 0.0087, 0.1015)
Ni (0.7931, 0.9913, 0.8985)
Ni (0.0421, 0.2022, 0.3002)
Ni (0.9579, 0.7978, 0.6998)
Ni (0.8271, 0.3737, 0.0977)
Ni (0.1729, 0.6263, 0.9023)
Ni (0.0122, 0.1977, 0.6648)
Ni (0.9878, 0.8023, 0.3352)
Ge (0.0000, 0.5000, 0.5000)
P (0.1718, 0.3342, 0.0315)
P (0.8282, 0.6658, 0.9685)
P (0.3304, 0.1699, 0.4972)
P (0.6696, 0.8301, 0.5028)
P (0.5000, 0.0000, 0.0000)

(7)
Compound: Ni8Ge2P
Source: the Alexandria database
Functional: PBE-GGA
Structure: optimized geometry

Values from the calculation:
Spin magnetization, μB/f.u.: 0.00
ΔE_f, eV per atom: -0.3100

Cell lengths 3.9388, 5.2110, 6.9668 Å; angles 109.63, 106.42, 90.00 degrees
Positions (direct):
Ni (0.3896, 0.5828, 0.7792)
Ni (0.6513, 0.9330, 0.3025)
Ni (0.8051, 0.7500, 0.6102)
Ni (0.9864, 0.2280, 0.9727)
Ni (0.1949, 0.2500, 0.3898)
Ni (0.3487, 0.0670, 0.6975)
Ni (0.6104, 0.4172, 0.2208)
Ni (0.0136, 0.7720, 0.0273)
Ge (0.8204, 0.3104, 0.6408)
Ge (0.1796, 0.6896, 0.3592)
P (0.5000, 0.0000, 0.0000)

(8)
Compound: NiGeP
Source: the Alexandria database
Functional: PBE-GGA
Structure: optimized geometry

Values from the calculation:
Spin magnetization, μB/f.u.: 0.00
ΔE_f, eV per atom: -0.1208

Cell lengths 4.0005, 4.0005, 4.0005 Å; angles 60.00, 60.00, 60.00 degrees
Positions (direct):
Ni (0.2500, 0.2500, 0.2500)
Ge (0.5000, 0.5000, 0.5000)
P (0.0000, 0.0000, 0.0000)

> The highest spin magnetization belongs to which entry?

NiGe2OsW

> Which of these has the highest ΔE_f?

NiGe2OsW

> Look up the spin magnetization of the eighth one.

0.00 μB/f.u.